[1]
CsGeCl2: optimized geometry, PBE.

The structure in CIF format:
```
data_CsGeCl2
_symmetry_space_group_name_H-M 'P 1'
_symmetry_Int_Tables_number 1
_symmetry_space_group_name_Hall 'P 1'
_cell_length_a 9.2425
_cell_length_b 9.2425
_cell_length_c 9.2425
_cell_angle_alpha 28.42
_cell_angle_beta 28.42
_cell_angle_gamma 28.42
loop_
_atom_site_label
_atom_site_type_symbol
_atom_site_fract_x
_atom_site_fract_y
_atom_site_fract_z
Cs1 Cs 0.0000 0.0000 0.0000
Ge1 Ge 0.5000 0.5000 0.5000
Cl1 Cl 0.1222 0.1222 0.1222
Cl2 Cl 0.8778 0.8778 0.8778
```

Output
SG = R-3m (166)
energy above the most stable polymorph in this dataset = 0.188 eV per atom

***

[2]
LiAg2As: optimized geometry, PBE.

The structure in CIF format:
```
data_LiAg2As
_symmetry_space_group_name_H-M 'P 1'
_symmetry_Int_Tables_number 1
_symmetry_space_group_name_Hall 'P 1'
_cell_length_a 4.9142
_cell_length_b 4.9142
_cell_length_c 4.9142
_cell_angle_alpha 129.47
_cell_angle_beta 129.47
_cell_angle_gamma 74.26
loop_
_atom_site_label
_atom_site_type_symbol
_atom_site_fract_x
_atom_site_fract_y
_atom_site_fract_z
Li1 Li 0.0000 0.0000 0.0000
Ag1 Ag 0.5000 0.5000 0.0000
Ag2 Ag 0.7500 0.2500 0.5000
As1 As 0.2500 0.7500 0.5000
```

Output
SG = I-4m2 (119)
formation enthalpy at 0 K = -0.17 eV/atom

***

[3]
Cd3Ag2Pd: optimized geometry, PBE.

The structure in CIF format:
```
data_Cd3Ag2Pd
_symmetry_space_group_name_H-M 'P 1'
_symmetry_Int_Tables_number 1
_symmetry_space_group_name_Hall 'P 1'
_cell_length_a 3.2444
_cell_length_b 3.2444
_cell_length_c 10.7323
_cell_angle_alpha 90.00
_cell_angle_beta 90.00
_cell_angle_gamma 90.00
loop_
_atom_site_label
_atom_site_type_symbol
_atom_site_fract_x
_atom_site_fract_y
_atom_site_fract_z
Cd1 Cd 0.0000 0.0000 0.0000
Cd2 Cd 0.0000 0.0000 0.3441
Cd3 Cd 0.0000 0.0000 0.6559
Ag1 Ag 0.5000 0.5000 0.1719
Ag2 Ag 0.5000 0.5000 0.8281
Pd1 Pd 0.5000 0.5000 0.5000
```

Output
SG = P4/mmm (123)
formation enthalpy at 0 K = -0.16 eV/atom
energy above the most stable polymorph in this dataset = 0.008 eV per atom

***

[4]
NaPmO2: optimized geometry, PBE.

The structure in CIF format:
```
data_NaPmO2
_symmetry_space_group_name_H-M 'P 1'
_symmetry_Int_Tables_number 1
_symmetry_space_group_name_Hall 'P 1'
_cell_length_a 6.4176
_cell_length_b 6.4176
_cell_length_c 6.4176
_cell_angle_alpha 136.70
_cell_angle_beta 136.70
_cell_angle_gamma 62.90
loop_
_atom_site_label
_atom_site_type_symbol
_atom_site_fract_x
_atom_site_fract_y
_atom_site_fract_z
Na1 Na 0.3750 0.6250 0.7500
Na2 Na 0.6250 0.3750 0.2500
Pm1 Pm 0.1250 0.8750 0.2500
Pm2 Pm 0.8750 0.1250 0.7500
O1 O 0.0935 0.3435 0.7500
O2 O 0.3435 0.0935 0.2500
O3 O 0.6565 0.9065 0.7500
O4 O 0.9065 0.6565 0.2500
```

Output
SG = I4_1/amd (141)
energy above the most stable polymorph in this dataset = 0.000 eV per atom

***

[5]
Tb3In2Hg2: optimized geometry, PBE.

The structure in CIF format:
```
data_Tb3In2Hg2
_symmetry_space_group_name_H-M 'P 1'
_symmetry_Int_Tables_number 1
_symmetry_space_group_name_Hall 'P 1'
_cell_length_a 11.3049
_cell_length_b 11.3049
_cell_length_c 3.4635
_cell_angle_alpha 90.00
_cell_angle_beta 90.00
_cell_angle_gamma 155.96
loop_
_atom_site_label
_atom_site_type_symbol
_atom_site_fract_x
_atom_site_fract_y
_atom_site_fract_z
Tb1 Tb 0.0000 0.0000 0.0000
Tb2 Tb 0.1571 0.8429 0.0000
Tb3 Tb 0.8429 0.1571 0.0000
In1 In 0.4256 0.5744 0.5000
In2 In 0.5744 0.4256 0.5000
Hg1 Hg 0.2878 0.7122 0.5000
Hg2 Hg 0.7122 0.2878 0.5000
```

Output
SG = Cmmm (65)
formation enthalpy at 0 K = -0.44 eV/atom

***

[6]
Sr2LiTaS: optimized geometry, PBE.

The structure in CIF format:
```
data_Sr2LiTaS
_symmetry_space_group_name_H-M 'P 1'
_symmetry_Int_Tables_number 1
_symmetry_space_group_name_Hall 'P 1'
_cell_length_a 5.8816
_cell_length_b 5.8816
_cell_length_c 4.6568
_cell_angle_alpha 90.00
_cell_angle_beta 90.00
_cell_angle_gamma 90.00
loop_
_atom_site_label
_atom_site_type_symbol
_atom_site_fract_x
_atom_site_fract_y
_atom_site_fract_z
Sr1 Sr 0.0000 0.5000 0.0000
Sr2 Sr 0.5000 0.0000 0.0000
Li1 Li 0.0000 0.0000 0.5000
Ta1 Ta 0.5000 0.5000 0.5000
S1 S 0.5000 0.5000 0.0000
```

Output
SG = P4/mmm (123)

***

[7]
LaYGe: optimized geometry, PBE.

The structure in CIF format:
```
data_LaYGe
_symmetry_space_group_name_H-M 'P 1'
_symmetry_Int_Tables_number 1
_symmetry_space_group_name_Hall 'P 1'
_cell_length_a 4.2601
_cell_length_b 5.9350
_cell_length_c 7.5067
_cell_angle_alpha 77.75
_cell_angle_beta 73.61
_cell_angle_gamma 69.08
loop_
_atom_site_label
_atom_site_type_symbol
_atom_site_fract_x
_atom_site_fract_y
_atom_site_fract_z
La1 La 0.1704 0.2313 0.4321
La2 La 0.8296 0.7687 0.5679
Y1 Y 0.4154 0.3030 0.8668
Y2 Y 0.5846 0.6970 0.1332
Ge1 Ge 0.1284 0.8912 0.8496
Ge2 Ge 0.8716 0.1088 0.1504
```

Output
SG = P-1 (2)
formation enthalpy at 0 K = -0.57 eV/atom
energy above the most stable polymorph in this dataset = 0.095 eV per atom

***

[8]
Cd2NiI: optimized geometry, PBE.

The structure in CIF format:
```
data_Cd2NiI
_symmetry_space_group_name_H-M 'P 1'
_symmetry_Int_Tables_number 1
_symmetry_space_group_name_Hall 'P 1'
_cell_length_a 5.1228
_cell_length_b 5.1228
_cell_length_c 5.1228
_cell_angle_alpha 60.00
_cell_angle_beta 60.00
_cell_angle_gamma 60.00
loop_
_atom_site_label
_atom_site_type_symbol
_atom_site_fract_x
_atom_site_fract_y
_atom_site_fract_z
Cd1 Cd 0.2500 0.2500 0.2500
Cd2 Cd 0.7500 0.7500 0.7500
Ni1 Ni 0.0000 0.0000 0.0000
I1 I 0.5000 0.5000 0.5000
```

Output
SG = Fm-3m (225)
energy above the most stable polymorph in this dataset = 0.370 eV per atom

***

no.,total energy (eV/atom)
1,-2.92
2,-3.24
3,-2.43
4,-6.68
5,-3.29
6,-4.32
7,-5.90
8,-1.62